This record from the Alexandria database describes an optimized crystal structure of LiSiAg. The functional is PBE-GGA.

Lattice parameters (Å, degrees): 2.820 2.820 11.777 90.00 90.00 90.00
Space group I4mm (No. 107)
Unique sites:
Li  0.000  0.000  0.000 x2
Si  0.000  0.000  0.651 x2
Ag  0.000  0.000  0.320 x2

Results
total DFT energy (no corrections)	-10.14	eV per formula unit
N(E_F)	2.62	states/eV per cell
ΔE_f (raw)	0.015	eV per atom
magnetic moment	0.000	μB/atom